# 1
MgZnSnRu | GGA-PBE | optimized geometry

DOS at the Fermi energy, states/eV per cell: 2.962
Spin magnetization, μB/f.u.: 0.0
Space-group type: No. 216
Energy, Ha/atom: -0.1484
Energy of formation from the pure elements, kJ per mole of atoms: 0

Unit cell a=4.567 b=4.567 c=4.567 alpha=60.00 beta=60.00 gamma=60.00
Element x y z (fractional)
Mg: 0.250 0.250 0.250
Ru: 0.750 0.750 0.750
Zn: 0.000 0.000 0.000
Sn: 0.500 0.500 0.500



# 2
MgZr3Tc | GGA-PBE | optimized geometry

DOS at the Fermi energy, states/eV per cell: 10.815
Spin magnetization, μB/f.u.: 0.0
Space-group type: No. 221
Energy, Ha/atom: -0.2619
Energy of formation from the pure elements, kJ per mole of atoms: 38
Relative energy among the computed polymorphs, meV per atom: 0.0

Unit cell a=5.061 b=5.061 c=5.061 alpha=90.00 beta=90.00 gamma=90.00
Element x y z (fractional)
Mg: 0.500 0.500 0.500
Tc: 0.000 0.000 0.000
Zr: 0.000 0.500 0.000
Zr: 0.000 0.000 0.500
Zr: 0.500 0.000 0.000



# 3
ErGaRh4 | GGA-PBE | optimized geometry

DOS at the Fermi energy, states/eV per cell: 6.672
Spin magnetization, μB/f.u.: 0.0
Space-group type: No. 216
Energy, Ha/atom: -0.2430
Energy of formation from the pure elements, kJ per mole of atoms: -43

Unit cell a=5.216 b=5.216 c=5.216 alpha=60.00 beta=60.00 gamma=60.00
Element x y z (fractional)
Rh: 0.626 0.626 0.123
Rh: 0.626 0.123 0.626
Rh: 0.626 0.626 0.626
Rh: 0.123 0.626 0.626
Ga: 0.000 0.000 0.000
Er: 0.250 0.250 0.250



Repeat the third record exactly.
ErGaRh4 | GGA-PBE | optimized geometry

DOS at the Fermi energy, states/eV per cell: 6.672
Spin magnetization, μB/f.u.: 0.0
Space-group type: No. 216
Energy, Ha/atom: -0.2430
Energy of formation from the pure elements, kJ per mole of atoms: -43

Unit cell a=5.216 b=5.216 c=5.216 alpha=60.00 beta=60.00 gamma=60.00
Element x y z (fractional)
Rh: 0.626 0.626 0.123
Rh: 0.626 0.123 0.626
Rh: 0.626 0.626 0.626
Rh: 0.123 0.626 0.626
Ga: 0.000 0.000 0.000
Er: 0.250 0.250 0.250